Entry 1:
DFT (PBE) results for a geometry-optimized AcU2CoS8 structure.

Cell and atoms, written as extended XYZ:
```
12
Lattice="6.150 0.000 0.000 0.000 8.106 0.000 -0.628 0.000 6.190" Properties=species:S:1:pos:R:3 pbc="T T T"
Ac 0.000 0.000 0.000
U 2.761 2.112 3.095
U 2.761 5.993 3.095
Co 0.000 4.053 0.000
S 1.169 2.438 1.166
S 1.169 5.667 1.166
S 1.443 4.053 4.169
S 1.486 0.000 4.084
S 4.035 0.000 2.106
S 4.078 4.053 2.021
S 4.352 2.438 5.025
S 4.352 5.667 5.025
```

Values from the calculation:
As for the uncorrected formation energy: -1.074 eV/atom. The calculation puts the total energy at -79.7 eV/cell. Its total magnetization is 2.74 Bohr magnetons per cell. Its space-group type is P2/m (10).

Entry 2:
DFT (PBE) results for a geometry-optimized Ac2ZrCoS6 structure.

Cell and atoms, written as extended XYZ:
```
20
Lattice="6.719 0.000 0.000 0.000 9.552 0.000 0.000 0.000 6.712" Properties=species:S:1:pos:R:3 pbc="T T T"
Ac 1.680 0.016 1.672
Ac 1.680 4.760 1.672
Ac 5.039 4.792 5.040
Ac 5.039 9.536 5.040
Zr 1.680 7.164 5.029
Zr 5.039 2.388 1.684
Co 1.680 2.388 5.038
Co 5.039 7.164 1.674
S 0.083 2.388 3.441
S 0.084 2.388 6.637
S 1.680 0.108 5.038
S 1.680 4.669 5.038
S 3.275 2.388 6.637
S 3.276 2.388 3.441
S 3.443 7.164 3.272
S 3.444 7.164 0.075
S 5.039 4.884 1.675
S 5.039 9.445 1.675
S 6.635 7.164 0.075
S 6.636 7.164 3.272
```

Values from the calculation:
As for the uncorrected formation energy: -1.441 eV/atom. The calculation puts the total energy at -126.1 eV/cell. Its total magnetization is 0.63 Bohr magnetons per cell. Its space-group type is Pmmn (59).

Entry 3:
DFT (PBE) results for a geometry-optimized AcCoSb2 structure.

Cell and atoms, written as extended XYZ:
```
4
Lattice="4.746 0.000 0.000 0.000 4.746 0.000 0.000 0.000 4.673" Properties=species:S:1:pos:R:3 pbc="T T T"
Ac 0.000 0.000 0.000
Co 2.373 2.373 0.000
Sb 0.000 2.373 2.336
Sb 2.373 0.000 2.336
```

Values from the calculation:
As for the uncorrected formation energy: -0.081 eV/atom. The calculation puts the total energy at -19.8 eV/cell. Its total magnetization is 1.80 Bohr magnetons per cell. The calculation puts the polymorph energy (0 for the lowest one) at 0.0000 eV per atom. Its space-group type is P4/mmm (123).

Entry 4:
DFT (PBE) results for a geometry-optimized AcCoSb structure.

Cell and atoms, written as extended XYZ:
```
3
Lattice="0.000 3.399 3.399 3.399 0.000 3.399 3.399 3.399 0.000" Properties=species:S:1:pos:R:3 pbc="T T T"
Ac 0.000 0.000 0.000
Co 5.098 5.098 5.098
Sb 3.399 3.399 3.399
```

Values from the calculation:
As for the uncorrected formation energy: -0.401 eV/atom. The calculation puts the total energy at -16.5 eV/cell. Its total magnetization is 1.00 Bohr magnetons per cell. The calculation puts the polymorph energy (0 for the lowest one) at 0.1478 eV per atom. Its space-group type is F-43m (216).

Entry 5:
DFT (PBE) results for a geometry-optimized AcCo4Sb12 structure.

Cell and atoms, written as extended XYZ:
```
17
Lattice="-4.625 4.625 4.625 4.625 -4.625 4.625 4.625 4.625 -4.625" Properties=species:S:1:pos:R:3 pbc="T T T"
Ac 0.000 0.000 0.000
Co 2.313 2.313 -2.313
Co 2.313 -2.313 2.313
Co -2.313 2.313 2.313
Co 2.313 2.313 2.313
Sb 3.115 1.507 0.000
Sb 6.135 1.507 0.000
Sb 4.625 -1.510 3.118
Sb 3.118 4.625 -1.510
Sb 1.507 0.000 3.115
Sb 0.000 3.115 1.507
Sb 4.625 1.510 3.118
Sb 3.118 4.625 1.510
Sb 1.507 0.000 6.135
Sb 0.000 6.135 1.507
Sb -1.510 3.118 4.625
Sb 1.510 3.118 4.625
```

Values from the calculation:
As for the uncorrected formation energy: -0.259 eV/atom. The calculation puts the total energy at -86.4 eV/cell. Its total magnetization is 0.01 Bohr magnetons per cell. Its space-group type is Im-3 (204).

Entry 6:
DFT (PBE) results for a geometry-optimized Ac3CoSb structure.

Cell and atoms, written as extended XYZ:
```
20
Lattice="9.005 0.000 0.000 0.000 4.714 0.000 0.000 0.000 15.757" Properties=species:S:1:pos:R:3 pbc="T T T"
Ac 0.291 1.178 1.587
Ac 1.388 1.178 7.962
Ac 1.840 3.535 4.561
Ac 2.663 1.178 12.440
Ac 3.115 3.535 0.083
Ac 4.212 3.535 9.465
Ac 4.794 1.178 6.292
Ac 5.891 1.178 15.674
Ac 6.342 3.535 3.317
Ac 7.166 1.178 11.196
Ac 7.618 3.535 7.795
Ac 8.715 3.535 14.170
Co 1.510 1.178 14.806
Co 2.993 3.535 6.927
Co 6.013 1.178 8.830
Co 7.496 3.535 0.951
Sb 0.715 3.535 10.687
Sb 3.788 1.178 2.809
Sb 5.217 3.535 12.948
Sb 8.291 1.178 5.070
```

Values from the calculation:
As for the uncorrected formation energy: -0.490 eV/atom. The calculation puts the total energy at -104.0 eV/cell. Its total magnetization is 0.00 Bohr magnetons per cell. The calculation puts the polymorph energy (0 for the lowest one) at 0.0000 eV per atom. Its space-group type is Pnma (62).

Entry 7:
DFT (PBE) results for a geometry-optimized Ac5Co2Sb structure.

Cell and atoms, written as extended XYZ:
```
16
Lattice="-4.184 4.184 7.191 4.184 -4.184 7.191 4.184 4.184 -7.191" Properties=species:S:1:pos:R:3 pbc="T T T"
Ac 0.000 0.000 0.000
Ac 5.510 1.326 -1.919
Ac 1.326 2.858 -1.919
Ac 5.510 1.326 1.919
Ac 1.326 2.858 1.919
Ac 0.000 0.000 7.191
Ac 2.858 1.326 5.272
Ac -1.326 2.858 5.272
Ac 2.858 1.326 9.109
Ac -1.326 2.858 9.109
Co 2.985 1.199 0.000
Co 2.985 -1.199 7.191
Co 1.199 5.383 0.000
Co 1.199 2.985 7.191
Sb 0.000 0.000 3.595
Sb 0.000 0.000 10.786
```

Values from the calculation:
As for the uncorrected formation energy: -0.277 eV/atom. The calculation puts the total energy at -82.2 eV/cell. Its total magnetization is 0.00 Bohr magnetons per cell. Its space-group type is I4/mcm (140).

Entry 8:
DFT (PBE) results for a geometry-optimized Ac12Co5Sb3 structure.

Cell and atoms, written as extended XYZ:
```
80
Lattice="-9.000 9.000 9.000 9.000 -9.000 9.000 9.000 9.000 -9.000" Properties=species:S:1:pos:R:3 pbc="T T T"
Ac 2.676 -0.550 0.953
Ac 10.825 5.453 -5.050
Ac 11.676 0.550 0.953
Ac 10.825 -3.547 5.050
Ac 8.451 -0.953 2.676
Ac 14.050 -1.825 3.547
Ac 0.953 2.676 -0.550
Ac 12.548 3.951 -1.825
Ac 5.453 5.050 -1.825
Ac 8.048 2.676 0.550
Ac -0.550 0.953 2.676
Ac 5.050 -1.825 5.453
Ac 8.451 8.048 -2.676
Ac 5.050 1.825 3.547
Ac 5.453 -5.050 10.825
Ac 8.048 -2.676 8.451
Ac 3.547 5.050 1.825
Ac 9.953 6.325 0.550
Ac 5.050 10.825 -3.547
Ac 8.451 0.953 6.325
Ac 2.676 8.451 -0.953
Ac 10.825 3.547 3.951
Ac 1.825 3.547 5.050
Ac 2.676 0.550 8.048
Ac 6.325 8.451 0.953
Ac 7.176 5.453 3.951
Ac -1.825 5.453 5.050
Ac 6.325 0.550 9.953
Ac 0.550 8.048 2.676
Ac 3.951 -1.825 12.548
Ac -0.953 2.676 8.451
Ac 5.453 3.951 7.176
Ac 0.953 11.676 0.550
Ac 3.547 14.050 -1.825
Ac 3.951 7.176 5.453
Ac 0.550 0.953 11.676
Ac 3.951 10.825 3.547
Ac 9.550 8.048 6.325
Ac 0.953 6.325 8.451
Ac 3.547 3.951 10.825
Ac -3.547 5.050 10.825
Ac 8.048 6.325 9.550
Ac -5.050 10.825 5.453
Ac 0.550 9.953 6.325
Ac -1.825 12.548 3.951
Ac -2.676 8.451 8.048
Ac -1.825 3.547 14.050
Ac 6.325 9.550 8.048
Co 0.000 0.000 0.000
Co 4.500 4.500 -4.500
Co 4.500 -4.500 4.500
Co 9.000 0.000 0.000
Co 13.500 2.250 0.000
Co 9.000 -4.500 6.750
Co 6.750 9.000 -4.500
Co 6.750 0.000 4.500
Co 4.500 6.750 0.000
Co 9.000 4.500 2.250
Co -4.500 4.500 4.500
Co 0.000 9.000 0.000
Co 0.000 0.000 9.000
Co 4.500 4.500 4.500
Co 0.000 4.500 6.750
Co 4.500 2.250 9.000
Co 2.250 9.000 4.500
Co 2.250 0.000 13.500
Co 0.000 13.500 2.250
Co -4.500 6.750 9.000
Sb 4.500 2.250 0.000
Sb 9.000 4.500 -2.250
Sb 2.250 0.000 4.500
Sb 11.250 0.000 4.500
Sb 0.000 4.500 2.250
Sb 4.500 -2.250 9.000
Sb 4.500 11.250 0.000
Sb 9.000 4.500 6.750
Sb -2.250 9.000 4.500
Sb 6.750 9.000 4.500
Sb 0.000 4.500 11.250
Sb 4.500 6.750 9.000
```

Values from the calculation:
As for the uncorrected formation energy: -0.180 eV/atom. The calculation puts the total energy at -403.2 eV/cell. Its total magnetization is 0.00 Bohr magnetons per cell. Its space-group type is Ia-3d (230).

Entry 9:
DFT (PBE) results for a geometry-optimized AcCoSb2 structure.

Cell and atoms, written as extended XYZ:
```
4
Lattice="1.999 1.154 8.880 -1.999 1.154 8.880 0.000 -2.308 8.880" Properties=species:S:1:pos:R:3 pbc="T T T"
Ac 0.000 0.000 0.000
Co 0.000 0.000 13.320
Sb 0.000 0.000 3.321
Sb 0.000 0.000 23.319
```

Values from the calculation:
As for the uncorrected formation energy: 0.024 eV/atom. The calculation puts the total energy at -19.4 eV/cell. Its total magnetization is 0.00 Bohr magnetons per cell. The calculation puts the polymorph energy (0 for the lowest one) at 0.1052 eV per atom. Its space-group type is R-3m (166).

Entry 10:
DFT (PBE) results for a geometry-optimized AcCoSb2 structure.

Cell and atoms, written as extended XYZ:
```
4
Lattice="3.580 0.000 0.000 0.000 3.580 0.000 0.000 0.000 7.657" Properties=species:S:1:pos:R:3 pbc="T T T"
Ac 0.000 0.000 0.000
Co 0.000 0.000 3.828
Sb 1.790 1.790 2.384
Sb 1.790 1.790 5.272
```

Values from the calculation:
As for the uncorrected formation energy: -0.040 eV/atom. The calculation puts the total energy at -19.6 eV/cell. Its total magnetization is 1.18 Bohr magnetons per cell. The calculation puts the polymorph energy (0 for the lowest one) at 0.0412 eV per atom. Its space-group type is P4/mmm (123).